No. 1
Compound: NbCu2Ge
Source: Alexandria via LeMat-Bulk
Functional: PBE
Structure: relaxed Values from VASP.

Quantum ESPRESSO input file:
```
&SYSTEM
  ibrav = 0, nat = 8, ntyp = 3
/
ATOMIC_SPECIES
Nb 92.91 Nb.upf
Cu 63.55 Cu.upf
Ge 72.64 Ge.upf
ATOMIC_POSITIONS angstrom
Nb 0.0000 0.0000 0.0000
Nb 0.0000 1.8220 4.7774
Cu 0.9110 -0.8805 7.1661
Cu 0.9414 0.9110 2.3887
Cu 0.9110 2.7025 -2.3887
Cu 0.8805 0.9110 11.9435
Ge 1.8220 0.0000 4.7774
Ge 0.0000 0.0000 9.5548
CELL_PARAMETERS angstrom
-1.8220 1.8220 9.5548
1.8220 -1.8220 9.5548
1.8220 1.8220 -9.5548
```

Calculated values
Space group: No. 122

No. 2
Compound: Ba2SrMn
Source: Alexandria via LeMat-Bulk
Functional: PBE
Structure: relaxed Values from VASP.

Quantum ESPRESSO input file:
```
&SYSTEM
  ibrav = 0, nat = 4, ntyp = 3
/
ATOMIC_SPECIES
Ba 137.33 Ba.upf
Sr 87.62 Sr.upf
Mn 54.94 Mn.upf
ATOMIC_POSITIONS angstrom
Ba 0.0000 0.0000 0.0000
Ba 2.0804 2.0804 3.4578
Sr 2.0804 2.0804 7.2923
Mn 0.0000 0.0000 5.4683
CELL_PARAMETERS angstrom
4.1609 0.0000 0.0000
0.0000 4.1609 0.0000
0.0000 0.0000 10.5640
```

Calculated values
Space group: No. 99
Offset from the most stable computed form: 0.009 eV/atom

No. 3
Compound: LiPrCd2Hg4
Source: Alexandria via LeMat-Bulk
Functional: PBE
Structure: relaxed Values from VASP.

Quantum ESPRESSO input file:
```
&SYSTEM
  ibrav = 0, nat = 8, ntyp = 4
/
ATOMIC_SPECIES
Li 6.94 Li.upf
Pr 140.91 Pr.upf
Cd 112.41 Cd.upf
Hg 200.59 Hg.upf
ATOMIC_POSITIONS angstrom
Li 0.0000 0.0000 0.0000
Pr 0.0000 0.0000 13.1296
Cd 0.0000 0.0000 6.6332
Cd 0.0000 0.0000 19.6260
Hg 0.0000 0.0000 2.9852
Hg 0.0000 0.0000 9.6590
Hg 0.0000 0.0000 16.6003
Hg 0.0000 0.0000 23.2741
CELL_PARAMETERS angstrom
2.4791 1.4313 8.7531
-2.4791 1.4313 8.7531
0.0000 -2.8627 8.7531
```

Calculated values
Space group: No. 166

No. 4
Compound: NbVRh2
Source: Alexandria via LeMat-Bulk
Functional: PBE
Structure: relaxed Values from VASP.

Quantum ESPRESSO input file:
```
&SYSTEM
  ibrav = 0, nat = 4, ntyp = 3
/
ATOMIC_SPECIES
Nb 92.91 Nb.upf
V 50.94 V.upf
Rh 102.91 Rh.upf
ATOMIC_POSITIONS angstrom
Nb 0.0000 0.0000 0.0000
V 3.1392 3.1392 3.1392
Rh 1.5696 1.5696 1.5696
Rh 4.7088 4.7088 4.7088
CELL_PARAMETERS angstrom
0.0000 3.1392 3.1392
3.1392 0.0000 3.1392
3.1392 3.1392 0.0000
```

Calculated values
Space group: No. 225
Offset from the most stable computed form: 0.224 eV/atom

No. 5
Compound: Nd2CuAuO5
Source: Alexandria via LeMat-Bulk
Functional: PBE
Structure: relaxed Values from VASP.

Quantum ESPRESSO input file:
```
&SYSTEM
  ibrav = 0, nat = 18, ntyp = 4
/
ATOMIC_SPECIES
Nd 144.24 Nd.upf
Cu 63.55 Cu.upf
Au 196.97 Au.upf
O 16.00 O.upf
ATOMIC_POSITIONS angstrom
Nd 1.7954 5.2087 5.3437
Nd 1.7954 4.7820 1.5171
Nd 1.7954 -4.7820 6.8609
Nd 1.7954 -5.2087 0.0000
Cu 1.7954 3.7558 9.2384
Cu 1.7954 -3.7558 3.8947
Au 1.7954 0.6777 2.9983
Au 1.7954 -0.6777 8.3420
O 1.7954 5.5885 9.8490
O 1.7954 3.0127 4.3455
O 1.7954 2.5979 0.9394
O 1.7954 1.9563 8.6245
O 1.7954 0.2105 6.4085
O 1.7954 -0.2105 1.0647
O 1.7954 -1.9563 3.2808
O 1.7954 -2.5979 6.2832
O 1.7954 -3.0127 9.6892
O 1.7954 -5.5885 4.5053
CELL_PARAMETERS angstrom
1.7954 -6.6023 0.0000
1.7954 6.6023 0.0000
0.0000 0.0000 10.6875
```

Calculated values
Raw formation energy: -1.77 eV per atom
Space group: No. 36

No. 6
Compound: TiW
Source: Alexandria via LeMat-Bulk
Functional: PBE
Structure: relaxed Values from VASP.

Quantum ESPRESSO input file:
```
&SYSTEM
  ibrav = 0, nat = 12, ntyp = 2
/
ATOMIC_SPECIES
Ti 47.87 Ti.upf
W 183.84 W.upf
ATOMIC_POSITIONS angstrom
Ti 0.0000 0.6279 0.0000
Ti 2.3802 0.0160 3.7688
Ti 4.6406 2.8142 1.2771
Ti 7.0208 2.2023 2.4917
Ti 9.4009 2.8142 1.2771
Ti 11.6613 0.0160 3.7688
W 0.0000 2.1360 2.5352
W 2.2695 1.4134 1.2845
W 4.7512 1.4168 3.7762
W 7.0208 0.6942 0.0435
W 9.2903 1.4168 3.7762
W 11.7720 1.4134 1.2845
CELL_PARAMETERS angstrom
14.0415 0.0000 0.0000
0.0000 2.8302 0.0000
0.0000 0.0000 4.9835
```

Calculated values
Space group: No. 31

Raw total energy
In order: -44.39, -13.38, -12.08, -34.62, -115.21, -123.66
Unit: eV per cell